No. 1
Material: Fe4Mo5
Method: DFT, GGA-PBE
State: relaxed

Space-group type = P6_3/mcm, No. 193
Formation enthalpy at 0 K = 5.58 kcal/mol of atoms
M_tot = 7.7 Bohr magnetons per cell
E = -171.7 eV/cell

Cell lengths 7.600, 7.600, 5.006 Å; angles 90.00, 90.00, 60.00 degrees
Each line ends with the local moment (μB).
Element x y z (fractional)
Fe: 0.000 0.000 0.000  -1.25
Mo: 0.284 0.000 0.750  -0.07
Mo: 0.667 0.667 0.500  0.03
Mo: 0.284 0.716 0.250  -0.07
Fe: 0.000 0.608 0.250  1.73
Mo: 0.333 0.333 0.500  0.03
Mo: 0.667 0.667 0.000  0.03
Mo: 0.333 0.333 0.000  0.03
Fe: 0.608 0.000 0.750  1.73
Mo: 0.000 0.716 0.750  -0.07
Mo: 0.716 0.000 0.250  -0.07
Mo: 0.000 0.284 0.250  -0.07
Fe: 0.608 0.392 0.250  1.73
Fe: 0.000 0.392 0.750  1.73
Mo: 0.716 0.284 0.750  -0.07
Fe: 0.392 0.000 0.250  1.73
Fe: 0.000 0.000 0.500  -1.25
Fe: 0.392 0.608 0.750  1.73

=====

No. 2
Material: FeMo5
Method: DFT, GGA-PBE
State: relaxed

Space-group type = P4/mmm, No. 123
Formation enthalpy at 0 K = 5.24 kcal/mol of atoms
M_tot = 0.0 Bohr magnetons per cell
E = -61.3 eV/cell

Cell lengths 2.668, 2.668, 12.821 Å; angles 90.00, 90.00, 90.00 degrees
Element x y z (fractional)
Mo: 0.000 0.000 0.138
Fe: 0.500 0.500 0.000
Mo: 0.500 0.500 0.682
Mo: 0.500 0.500 0.318
Mo: 0.000 0.000 0.500
Mo: 0.000 0.000 0.862

=====

No. 3
Material: FeMo5
Method: DFT, GGA-PBE
State: relaxed

Space-group type = P-62m, No. 189
Formation enthalpy at 0 K = 8.89 kcal/mol of atoms
M_tot = 1.7 Bohr magnetons per cell
E = -60.3 eV/cell

Cell lengths 4.850, 4.850, 4.519 Å; angles 90.00, 90.00, 120.00 degrees
Each line ends with the local moment (μB).
Element x y z (fractional)
Mo: 0.325 0.325 0.000  -0.07
Mo: 0.333 0.667 0.500  -0.03
Mo: 0.000 0.675 0.000  -0.07
Fe: 0.000 0.000 0.500  1.94
Mo: 0.667 0.333 0.500  -0.03
Mo: 0.675 0.000 0.000  -0.07

=====

No. 4
Material: FeMo3
Method: DFT, GGA-PBE
State: relaxed

Space-group type = Cmcm, No. 63
Formation enthalpy at 0 K = 2.45 kcal/mol of atoms
M_tot = 4.5 Bohr magnetons per cell
E = -81.1 eV/cell

Cell lengths 5.368, 5.368, 4.416 Å; angles 90.00, 90.00, 110.61 degrees
Each line ends with the local moment (μB).
Element x y z (fractional)
Mo: 0.623 0.868 0.250  -0.01
Fe: 0.626 0.374 0.250  2.24
Mo: 0.132 0.377 0.250  -0.01
Mo: 0.128 0.872 0.250  0.04
Mo: 0.868 0.623 0.750  -0.01
Mo: 0.377 0.132 0.750  -0.01
Mo: 0.872 0.128 0.750  0.04
Fe: 0.374 0.626 0.750  2.24

=====

No. 5
Material: FeMo3
Method: DFT, GGA-PBE
State: relaxed

Space-group type = Pmm2, No. 25
Formation enthalpy at 0 K = 7.25 kcal/mol of atoms
M_tot = 2.4 Bohr magnetons per cell
E = -39.7 eV/cell

Cell lengths 2.553, 4.581, 5.185 Å; angles 90.00, 90.00, 90.00 degrees
Each line ends with the local moment (μB).
Element x y z (fractional)
Mo: 0.000 0.500 0.306  -0.03
Mo: 0.500 0.500 0.819  0.05
Fe: 0.000 0.000 0.016  2.34
Mo: 0.500 0.000 0.525  0.05

=====

No. 6
Material: Fe3Mo
Method: DFT, GGA-PBE
State: relaxed

Space-group type = Pmma, No. 51
Formation enthalpy at 0 K = 4.19 kcal/mol of atoms
M_tot = 8.0 Bohr magnetons per cell
E = -71.0 eV/cell

Cell lengths 4.031, 4.543, 5.414 Å; angles 90.00, 90.00, 90.00 degrees
Each line ends with the local moment (μB).
Element x y z (fractional)
Fe: 0.000 0.250 0.129  1.29
Fe: 0.000 0.750 0.871  1.29
Mo: 0.000 0.750 0.338  -0.50
Fe: 0.500 0.750 0.600  1.66
Fe: 0.500 0.250 0.400  1.66
Fe: 0.500 0.000 0.000  1.59
Fe: 0.500 0.500 0.000  1.59
Mo: 0.000 0.250 0.662  -0.50

=====

No. 7
Material: Fe6Mo7
Method: DFT, GGA-PBE
State: relaxed

Space-group type = R-3m, No. 166
Formation enthalpy at 0 K = 11.44 kcal/mol of atoms
M_tot = 12.2 Bohr magnetons per cell
E = -120.1 eV/cell

Cell lengths 9.226, 9.226, 9.226 Å; angles 32.01, 32.01, 32.01 degrees
Each line ends with the local moment (μB).
Element x y z (fractional)
Mo: 0.412 0.918 0.412  -0.18
Mo: 0.500 0.500 0.500  -0.12
Mo: 0.082 0.588 0.588  -0.18
Fe: 0.958 0.958 0.958  1.75
Mo: 0.412 0.412 0.918  -0.18
Fe: 0.667 0.667 0.667  2.45
Mo: 0.588 0.082 0.588  -0.18
Fe: 0.333 0.333 0.333  2.45
Mo: 0.588 0.588 0.082  -0.18
Fe: 0.851 0.851 0.851  2.69
Mo: 0.918 0.412 0.412  -0.18
Fe: 0.149 0.149 0.149  2.69
Fe: 0.042 0.042 0.042  1.75

=====

No. 8
Material: Fe5Mo4
Method: DFT, GGA-PBE
State: relaxed

Space-group type = I4/mmm, No. 139
Formation enthalpy at 0 K = 2.23 kcal/mol of atoms
M_tot = 10.6 Bohr magnetons per cell
E = -84.8 eV/cell

Cell lengths 6.467, 6.467, 6.467 Å; angles 93.28, 93.28, 152.31 degrees
Each line ends with the local moment (μB).
Element x y z (fractional)
Fe: 0.335 0.335 0.670  2.19
Mo: 0.327 0.000 0.327  -0.13
Mo: 0.673 0.000 0.673  -0.13
Fe: 0.665 0.665 0.330  2.19
Fe: 0.000 0.000 0.000  2.46
Fe: 0.335 0.665 0.000  2.19
Mo: 0.000 0.673 0.673  -0.13
Fe: 0.665 0.335 0.000  2.19
Mo: 0.000 0.327 0.327  -0.13

=====

E of number 3 (FeMo5)? -60.3 eV/cell

=====

Repeat the sixth record exactly.
Material: Fe3Mo
Method: DFT, GGA-PBE
State: relaxed

Space-group type = Pmma, No. 51
Formation enthalpy at 0 K = 4.19 kcal/mol of atoms
M_tot = 8.0 Bohr magnetons per cell
E = -71.0 eV/cell

Cell lengths 4.031, 4.543, 5.414 Å; angles 90.00, 90.00, 90.00 degrees
Each line ends with the local moment (μB).
Element x y z (fractional)
Fe: 0.000 0.250 0.129  1.29
Fe: 0.000 0.750 0.871  1.29
Mo: 0.000 0.750 0.338  -0.50
Fe: 0.500 0.750 0.600  1.66
Fe: 0.500 0.250 0.400  1.66
Fe: 0.500 0.000 0.000  1.59
Fe: 0.500 0.500 0.000  1.59
Mo: 0.000 0.250 0.662  -0.50

=====

What is the formula in the seventh record? Fe6Mo7